Record 1
Here is an optimized crystal structure of Cd2As2Pd5Au from the Alexandria database. Energies are from PBE. Values from VASP.

## Properties
The calculation puts the total DFT energy (no corrections) at -85.38 eV/cell. The calculation puts the energy relative to the elements at -0.232 eV/atom. The total magnetic moment is 0.00 μB per cell.

```
&SYSTEM
  ibrav = 0, nat = 20, ntyp = 4
/
ATOMIC_SPECIES
Cd 112.41 Cd.upf
As 74.92 As.upf
Pd 106.42 Pd.upf
Au 196.97 Au.upf
ATOMIC_POSITIONS crystal
Cd 0.177 0.323 0.000
Cd 0.323 0.823 0.000
Cd 0.677 0.177 0.000
Cd 0.823 0.677 0.000
As 0.135 0.635 0.000
As 0.365 0.135 0.000
As 0.635 0.865 0.000
As 0.865 0.365 0.000
Pd 0.000 0.500 0.500
Pd 0.023 0.786 0.500
Pd 0.214 0.023 0.500
Pd 0.286 0.523 0.500
Pd 0.477 0.286 0.500
Pd 0.500 0.000 0.500
Pd 0.523 0.714 0.500
Pd 0.714 0.477 0.500
Pd 0.786 0.977 0.500
Pd 0.977 0.214 0.500
Au 0.000 0.000 0.000
Au 0.500 0.500 0.000
CELL_PARAMETERS angstrom
10.237 0.000 0.000
0.000 10.237 0.000
0.000 0.000 3.378
```



Record 2
Here is an optimized crystal structure of PmCdAsAu from the Alexandria database. Energies are from PBE. Values from VASP.

## Properties
The calculation puts the total DFT energy (no corrections) at -63.44 eV/cell. The calculation puts the energy relative to the elements at -0.567 eV/atom. The total magnetic moment is 0.00 μB per cell.

```
&SYSTEM
  ibrav = 0, nat = 16, ntyp = 4
/
ATOMIC_SPECIES
Pm 145.00 Pm.upf
Cd 112.41 Cd.upf
As 74.92 As.upf
Au 196.97 Au.upf
ATOMIC_POSITIONS crystal
Pm 0.000 0.000 0.000
Pm 0.000 0.500 0.500
Pm 0.500 0.000 0.500
Pm 0.500 0.500 0.000
Cd 0.000 0.000 0.500
Cd 0.000 0.500 0.000
Cd 0.500 0.000 0.000
Cd 0.500 0.500 0.500
As 0.250 0.250 0.250
As 0.250 0.750 0.750
As 0.750 0.250 0.750
As 0.750 0.750 0.250
Au 0.250 0.250 0.750
Au 0.250 0.750 0.250
Au 0.750 0.250 0.250
Au 0.750 0.750 0.750
CELL_PARAMETERS angstrom
7.150 0.000 0.000
0.000 7.150 0.000
0.000 0.000 7.150
```



Record 3
Here is an optimized crystal structure of CdAs2RuAu from the Alexandria database. Energies are from PBE. Values from VASP.

## Properties
The calculation puts the total DFT energy (no corrections) at -20.98 eV/cell. The calculation puts the energy relative to the elements at 0.357 eV/atom. The total magnetic moment is 0.00 μB per cell.

```
&SYSTEM
  ibrav = 0, nat = 5, ntyp = 4
/
ATOMIC_SPECIES
Cd 112.41 Cd.upf
As 74.92 As.upf
Ru 101.07 Ru.upf
Au 196.97 Au.upf
ATOMIC_POSITIONS crystal
Cd 0.000 0.000 0.000
As 0.000 0.500 0.500
As 0.500 0.000 0.500
Ru 0.000 0.000 0.500
Au 0.500 0.500 0.000
CELL_PARAMETERS angstrom
4.660 0.000 0.000
0.000 4.660 0.000
0.000 0.000 5.320
```



Record 4
Here is an optimized crystal structure of CdTcAs2Au from the Alexandria database. Energies are from PBE. Values from VASP.

## Properties
The calculation puts the total DFT energy (no corrections) at -18.07 eV/cell. The calculation puts the energy relative to the elements at 1.157 eV/atom. The total magnetic moment is 3.09 μB per cell.

```
&SYSTEM
  ibrav = 0, nat = 5, ntyp = 4
/
ATOMIC_SPECIES
Cd 112.41 Cd.upf
Tc 98.00 Tc.upf
As 74.92 As.upf
Au 196.97 Au.upf
ATOMIC_POSITIONS crystal
Cd 0.000 0.000 0.000
Tc 0.500 0.500 0.000
As 0.000 0.500 0.500
As 0.500 0.000 0.500
Au 0.500 0.500 0.500
CELL_PARAMETERS angstrom
4.942 0.000 0.000
0.000 4.942 0.000
0.000 0.000 5.278
```